## TeRhW2 (GGA-PBEsol)

Data for TeRhW2 after structural relaxation.

Lattice parameters (Å, degrees): 3.012 4.112 5.336 90.00 90.00 90.00
Positions (direct):
Rh (0.500, 0.500, 0.000)
Te (0.500, 0.500, 0.500)
W (0.000, 0.000, 0.765)
W (0.000, 0.000, 0.235)

For the calculated total energy, the calculation gives -9.228 eV/atom. The value obtained for the formation energy without anion corrections is 0.59 eV per atom. As for the calculated volume: 66.1 Å³/cell. As for the total magnetization: 0.00 μB per formula unit.